Compound: KBa2AlIn
Source: the Alexandria database
Functional: PBE
Structure: relaxed

The structure in extended XYZ format:
```
5
Lattice="-2.922 1.160 -5.868 0.465 -6.274 -1.472 -5.963 -1.088 2.754" Properties=species:S:1:pos:R:3 pbc="T T T"
K 0.232 -3.137 -0.736
Al -4.210 -3.101 -2.293
Ba -2.981 -0.544 1.377
Ba -1.461 0.580 -2.934
In 0.000 0.000 0.000
```

* energy relative to the lowest polymorph listed for this composition: 6.545 kcal/mol of atoms
* DOS(E_F): 6.244 states/eV per cell
* ΔE_f: 0.3839 eV per atom
* space group: P4/mmm (123)

---

Compound: RbLiPS2
Source: the Alexandria database
Functional: PBE
Structure: relaxed

The structure in extended XYZ format:
```
5
Lattice="4.880 0.000 0.000 0.000 4.880 0.000 0.000 0.000 4.573" Properties=species:S:1:pos:R:3 pbc="T T T"
P 0.000 0.000 2.287
S 0.000 2.440 0.000
S 2.440 0.000 0.000
Rb 2.440 2.440 2.287
Li 0.000 0.000 0.000
```

* energy relative to the lowest polymorph listed for this composition: 0.000 kcal/mol of atoms
* raw formation energy: 13.7 kJ/mol of atoms
* DOS(E_F): 4.689 states/eV per cell
* space group: P4/mmm (123)